# LaZnSbO PBE-GGA relaxed
# **Volume**: 174.10 Å³/cell
# **Formation energy (no corrections)**: -1.761 eV per atom
# **Crystal system**: tetragonal
# **VASP energy**: -5.581 eV/atom
data_LaZnSbO
_chemical_formula_sum 'La2 Zn2 Sb2 O2'
_symmetry_space_group_name_H-M 'P 1'
_symmetry_Int_Tables_number 1
_cell_length_a 4.2482
_cell_length_b 4.2482
_cell_length_c 9.6469
_cell_angle_alpha 90.00
_cell_angle_beta 90.00
_cell_angle_gamma 90.00
loop_
_symmetry_equiv_pos_as_xyz
'x,y,z'
loop_
_atom_site_label
_atom_site_fract_x
_atom_site_fract_y
_atom_site_fract_z
_atom_site_occupancy
O1 0.5000 0.5000 0.0000 1
Zn1 0.5000 0.5000 0.5000 1
La1 0.0000 0.5000 0.8805 1
Sb1 0.0000 0.5000 0.3198 1
Sb2 0.5000 0.0000 0.6802 1
Zn2 0.0000 0.0000 0.5000 1
O2 0.0000 0.0000 0.0000 1
La2 0.5000 0.0000 0.1195 1

=====

# La2ZnSbO6 PBE-GGA relaxed
# **Volume**: 139.15 Å³/cell
# **Formation energy (no corrections)**: -2.329 eV per atom
# **Crystal system**: trigonal
# **VASP energy**: -6.829 eV/atom
data_La2ZnSbO6
_chemical_formula_sum 'La2 Zn1 Sb1 O6'
_symmetry_space_group_name_H-M 'P 1'
_symmetry_Int_Tables_number 1
_cell_length_a 5.7591
_cell_length_b 5.7591
_cell_length_c 5.7591
_cell_angle_alpha 61.34
_cell_angle_beta 61.34
_cell_angle_gamma 61.34
loop_
_symmetry_equiv_pos_as_xyz
'x,y,z'
loop_
_atom_site_label
_atom_site_fract_x
_atom_site_fract_y
_atom_site_fract_z
_atom_site_occupancy
O1 0.8471 0.6535 0.2530 1
O2 0.3465 0.7470 0.1529 1
O3 0.2530 0.8471 0.6535 1
O4 0.1529 0.3465 0.7470 1
La1 0.7451 0.7451 0.7451 1
Zn1 0.5000 0.5000 0.5000 1
O5 0.6535 0.2530 0.8471 1
O6 0.7470 0.1529 0.3465 1
La2 0.2549 0.2549 0.2549 1
Sb1 0.0000 0.0000 0.0000 1

=====

# LaZrSbO6 PBE-GGA relaxed
# **Volume**: 267.96 Å³/cell
# **Formation energy (no corrections)**: -2.669 eV per atom
# **Crystal system**: trigonal
# **VASP energy**: -7.930 eV/atom
data_LaZrSbO6
_chemical_formula_sum 'La2 Zr2 Sb2 O12'
_symmetry_space_group_name_H-M 'P 1'
_symmetry_Int_Tables_number 1
_cell_length_a 5.4782
_cell_length_b 5.4782
_cell_length_c 10.3101
_cell_angle_alpha 90.00
_cell_angle_beta 90.00
_cell_angle_gamma 120.00
loop_
_symmetry_equiv_pos_as_xyz
'x,y,z'
loop_
_atom_site_label
_atom_site_fract_x
_atom_site_fract_y
_atom_site_fract_z
_atom_site_occupancy
O1 0.3577 0.3732 0.8587 1
O2 0.6268 0.9845 0.8587 1
O3 0.6423 0.6268 0.1413 1
O4 0.3732 0.3577 0.3587 1
Sb1 0.6667 0.3333 0.2500 1
Zr1 0.6667 0.3333 0.7500 1
O5 0.9845 0.6268 0.3587 1
Sb2 0.3333 0.6667 0.7500 1
O6 0.0155 0.6423 0.8587 1
O7 0.6268 0.6423 0.6413 1
O8 0.3732 0.0155 0.1413 1
O9 0.9845 0.3577 0.1413 1
O10 0.3577 0.9845 0.6413 1
La1 0.0000 0.0000 0.0000 1
Zr2 0.3333 0.6667 0.2500 1
O11 0.6423 0.0155 0.3587 1
La2 0.0000 0.0000 0.5000 1
O12 0.0155 0.3732 0.6413 1

=====

# LaScO2 PBE-GGA relaxed
# **Volume**: 57.45 Å³/cell
# **Formation energy (no corrections)**: -2.746 eV per atom
# **Crystal system**: trigonal
# **VASP energy**: -8.040 eV/atom
data_LaScO2
_chemical_formula_sum 'La1 Sc1 O2'
_symmetry_space_group_name_H-M 'P 1'
_symmetry_Int_Tables_number 1
_cell_length_a 3.3042
_cell_length_b 3.3042
_cell_length_c 6.3683
_cell_angle_alpha 74.96
_cell_angle_beta 74.96
_cell_angle_gamma 60.00
loop_
_symmetry_equiv_pos_as_xyz
'x,y,z'
loop_
_atom_site_label
_atom_site_fract_x
_atom_site_fract_y
_atom_site_fract_z
_atom_site_occupancy
O1 0.2716 0.2716 0.1852 1
La1 0.4954 0.4954 0.5137 1
Sc1 0.6703 0.6703 0.9890 1
O2 0.0626 0.0626 0.8122 1

=====

# LaSc3O PBE-GGA relaxed
# **Volume**: 103.00 Å³/cell
# **Formation energy (no corrections)**: -0.952 eV per atom
# **Energy relative to the lowest polymorph listed for this composition**: 0.000 eV per atom
# **Crystal system**: cubic
# **VASP energy**: -6.728 eV/atom
data_LaSc3O
_chemical_formula_sum 'La1 Sc3 O1'
_symmetry_space_group_name_H-M 'P 1'
_symmetry_Int_Tables_number 1
_cell_length_a 4.6876
_cell_length_b 4.6876
_cell_length_c 4.6876
_cell_angle_alpha 90.00
_cell_angle_beta 90.00
_cell_angle_gamma 90.00
loop_
_symmetry_equiv_pos_as_xyz
'x,y,z'
loop_
_atom_site_label
_atom_site_fract_x
_atom_site_fract_y
_atom_site_fract_z
_atom_site_occupancy
Sc1 0.5000 0.0000 0.0000 1
Sc2 0.0000 0.0000 0.5000 1
Sc3 0.0000 0.5000 0.0000 1
La1 0.5000 0.5000 0.5000 1
O1 0.0000 0.0000 0.0000 1

=====

# La2ScO PBE-GGA relaxed
# **Volume**: 240.05 Å³/cell
# **Formation energy (no corrections)**: -1.122 eV per atom
# **Crystal system**: tetragonal
# **VASP energy**: -6.409 eV/atom
data_La2ScO
_chemical_formula_sum 'La4 Sc2 O2'
_symmetry_space_group_name_H-M 'P 1'
_symmetry_Int_Tables_number 1
_cell_length_a 7.4067
_cell_length_b 7.4067
_cell_length_c 6.8248
_cell_angle_alpha 57.14
_cell_angle_beta 57.14
_cell_angle_gamma 90.00
loop_
_symmetry_equiv_pos_as_xyz
'x,y,z'
loop_
_atom_site_label
_atom_site_fract_x
_atom_site_fract_y
_atom_site_fract_z
_atom_site_occupancy
La1 0.4978 0.1250 0.2500 1
O1 0.2500 0.7500 0.5000 1
La2 0.8750 0.7478 0.7500 1
La3 0.3750 0.5022 0.7500 1
Sc1 0.7500 0.2500 0.5000 1
Sc2 0.0000 0.0000 0.0000 1
La4 0.2522 0.6250 0.2500 1
O2 0.5000 0.5000 0.0000 1